No. 1
Entry from Alexandria: a geometry-optimized LiSb2W structure (PBE).

Summary:
Crystal system: tetragonal
Relative energy among the computed polymorphs (meV per atom): 215
Space-group type: No. 99

CIF file:
```
data_LiSb2W
_symmetry_space_group_name_H-M 'P 1'
_symmetry_Int_Tables_number 1
_cell_length_a 3.769
_cell_length_b 3.769
_cell_length_c 5.548
_cell_angle_alpha 90.00
_cell_angle_beta 90.00
_cell_angle_gamma 90.00
loop_
_symmetry_equiv_pos_as_xyz
'x,y,z'
loop_
_atom_site_label
_atom_site_type_symbol
_atom_site_fract_x
_atom_site_fract_y
_atom_site_fract_z
Sb1 Sb 0.500 0.500 0.295
W1 W 0.000 0.000 0.476
Sb2 Sb 0.000 0.000 0.955
Li1 Li 0.500 0.500 0.774
```

=====

No. 2
Entry from Alexandria: a geometry-optimized Ag6Te12Au structure (PBE).

Summary:
Crystal system: trigonal
Space-group type: No. 148

CIF file:
```
data_Ag6Te12Au
_symmetry_space_group_name_H-M 'P 1'
_symmetry_Int_Tables_number 1
_cell_length_a 8.618
_cell_length_b 8.618
_cell_length_c 8.618
_cell_angle_alpha 102.57
_cell_angle_beta 102.57
_cell_angle_gamma 102.57
loop_
_symmetry_equiv_pos_as_xyz
'x,y,z'
loop_
_atom_site_label
_atom_site_type_symbol
_atom_site_fract_x
_atom_site_fract_y
_atom_site_fract_z
Ag1 Ag 0.255 0.187 0.634
Ag2 Ag 0.634 0.255 0.187
Te1 Te 0.491 0.519 0.161
Te2 Te 0.161 0.491 0.519
Ag3 Ag 0.745 0.813 0.366
Ag4 Ag 0.813 0.366 0.745
Te3 Te 0.059 0.675 0.946
Te4 Te 0.839 0.509 0.481
Te5 Te 0.481 0.839 0.509
Te6 Te 0.519 0.161 0.491
Te7 Te 0.941 0.325 0.054
Te8 Te 0.675 0.946 0.059
Ag5 Ag 0.366 0.745 0.813
Te9 Te 0.509 0.481 0.839
Au1 Au 0.000 0.000 0.000
Te10 Te 0.054 0.941 0.325
Te11 Te 0.325 0.054 0.941
Te12 Te 0.946 0.059 0.675
Ag6 Ag 0.187 0.634 0.255
```

=====

It is found that the energy relative to the elements, uncorrected values, taken in the order of the records, are 0.300 0.076 eV/atom.